1.
## LuNiSnRh (PBE)

Data for crystalline LuNiSnRh at its relaxed geometry.

Computed properties:
DFT formation energy	-0.66	eV per atom
density	10.960	g/cm³

a b c (Å): 4.603 4.603 4.603
angles (deg): 60.00 60.00 60.00
Element x y z (fractional)
Ni: 0.000 0.000 0.000
Sn: 0.250 0.250 0.250
Rh: 0.500 0.500 0.500
Lu: 0.750 0.750 0.750


2.
## LuThNiRh (PBE)

Data for crystalline LuThNiRh at its relaxed geometry.

Computed properties:
DFT formation energy	-0.61	eV per atom
density	11.414	g/cm³

a b c (Å): 4.891 4.891 4.891
angles (deg): 60.00 60.00 60.00
Element x y z (fractional)
Rh: 0.750 0.750 0.750
Th: 0.000 0.000 0.000
Ni: 0.250 0.250 0.250
Lu: 0.500 0.500 0.500


3.
## LuTiNiRh (PBE)

Data for crystalline LuTiNiRh at its relaxed geometry.

Computed properties:
DFT formation energy	-0.55	eV per atom
density	9.689	g/cm³

a b c (Å): 4.534 4.534 4.534
angles (deg): 60.00 60.00 60.00
Element x y z (fractional)
Lu: 0.750 0.750 0.750
Ni: 0.000 0.000 0.000
Ti: 0.250 0.250 0.250
Rh: 0.500 0.500 0.500


4.
## YLuNiRh (PBE)

Data for crystalline YLuNiRh at its relaxed geometry.

Computed properties:
DFT formation energy	-0.67	eV per atom
density	9.156	g/cm³

a b c (Å): 4.779 4.779 4.779
angles (deg): 60.00 60.00 60.00
Element x y z (fractional)
Y: 0.250 0.250 0.250
Ni: 0.500 0.500 0.500
Rh: 0.000 0.000 0.000
Lu: 0.750 0.750 0.750


5.
## LuNi4Ru (PBE)

Data for crystalline LuNi4Ru at its relaxed geometry.

Computed properties:
DFT formation energy	-0.18	eV per atom
density	10.577	g/cm³

a b c (Å): 4.840 4.840 4.840
angles (deg): 60.00 60.00 60.00
Element x y z (fractional)
Ru: 0.250 0.250 0.250
Ni: 0.624 0.127 0.624
Ni: 0.624 0.624 0.624
Ni: 0.127 0.624 0.624
Ni: 0.624 0.624 0.127
Lu: 0.000 0.000 0.000


6.
## LuNiSbRu (PBE)

Data for crystalline LuNiSbRu at its relaxed geometry.

Computed properties:
formation energy (no corrections)	-0.393	eV per atom
density	11.155	g/cm³

a b c (Å): 4.580 4.580 4.580
angles (deg): 60.00 60.00 60.00
Element x y z (fractional)
Sb: 0.000 0.000 0.000
Ru: 0.750 0.750 0.750
Lu: 0.500 0.500 0.500
Ni: 0.250 0.250 0.250


7.
## TbLuNiRu (PBE)

Data for crystalline TbLuNiRu at its relaxed geometry.

Computed properties:
DFT formation energy	-0.43	eV per atom
density	10.784	g/cm³

a b c (Å): 4.755 4.755 4.755
angles (deg): 60.00 60.00 60.00
Element x y z (fractional)
Ni: 0.250 0.250 0.250
Tb: 0.500 0.500 0.500
Lu: 0.000 0.000 0.000
Ru: 0.750 0.750 0.750


8.
## LuTiNiRu (PBE)

Data for crystalline LuTiNiRu at its relaxed geometry.

Computed properties:
DFT formation energy	-0.44	eV per atom
density	9.817	g/cm³

a b c (Å): 4.507 4.507 4.507
angles (deg): 60.00 60.00 60.00
Element x y z (fractional)
Ti: 0.250 0.250 0.250
Lu: 0.750 0.750 0.750
Ru: 0.000 0.000 0.000
Ni: 0.500 0.500 0.500